CuC3: relaxed, PBE.

```
CuC3
1.0
3.447 0.000 0.000
0.000 2.444 0.000
-1.626 0.000 4.142
Cu C
1 3
Direct
0.000 0.000 0.000
0.000 0.000 0.500
0.273 0.500 0.438
0.727 0.500 0.562
```

relative energy among the computed polymorphs = 942 meV per atom
energy of formation = 149 kJ/mol of atoms
M_tot = 0.0 μB/f.u.
density of states at the Fermi level = 1.7 states/eV/cell
uncorrected energy = -0.23515 hartree per atom
calculated density = 4.739 g/cm3


Ti2BeNi7Sn2: relaxed, PBE.

```
Ti2BeNi7Sn2
1.0
-1.678 1.678 14.802
1.678 -1.678 14.802
1.678 1.678 -14.802
Ti Be Ni Sn
2 1 7 2
Direct
0.122 0.122 0.000
0.878 0.878 0.000
0.500 0.500 0.000
0.000 0.000 0.000
0.060 0.560 0.500
0.227 0.227 0.000
0.440 0.940 0.500
0.560 0.060 0.500
0.773 0.773 0.000
0.940 0.440 0.500
0.315 0.315 0.000
0.685 0.685 0.000
```

energy of formation = -10 kJ/mol of atoms
M_tot = 0.0 μB/f.u.
density of states at the Fermi level = 9.0 states/eV/cell
uncorrected energy = -0.21192 hartree per atom
calculated density = 7.504 g/cm3


LaMnMo4: relaxed, PBE.

```
LaMnMo4
1.0
0.000 3.847 3.847
3.847 0.000 3.847
3.847 3.847 0.000
La Mn Mo
1 1 4
Direct
0.000 0.000 0.000
0.750 0.750 0.750
0.375 0.375 0.375
0.375 0.375 0.875
0.375 0.875 0.375
0.875 0.375 0.375
```

energy of formation = 48 kJ/mol of atoms
M_tot = 2.9 μB/f.u.
density of states at the Fermi level = 5.0 states/eV/cell
uncorrected energy = -0.33358 hartree per atom
calculated density = 8.423 g/cm3


AlZn2As2: relaxed, PBE.

```
AlZn2As2
1.0
7.133 0.000 0.000
0.000 7.133 0.000
0.000 0.000 3.710
Al Zn As
2 4 4
Direct
0.000 0.000 0.000
0.500 0.500 0.000
0.128 0.372 0.500
0.372 0.872 0.500
0.628 0.128 0.500
0.872 0.628 0.500
0.189 0.689 0.000
0.311 0.189 0.000
0.689 0.811 0.000
0.811 0.311 0.000
```

energy of formation = 12 kJ/mol of atoms
M_tot = 0.0 μB/f.u.
density of states at the Fermi level = 4.9 states/eV/cell
uncorrected energy = -0.10992 hartree per atom
calculated density = 5.413 g/cm3